No. 1
Pr2DyHoS5 | Alexandria via LeMat-Bulk | GGA-PBE | relaxed; final energy = -52.7 eV for the cell shown; space-group type = P4/mmm, No. 123; uncorrected formation energy = -13.4 eV per formula unit
1.0
4.8777 0.0000 0.0000
0.0000 4.8777 0.0000
0.0000 0.0000 10.2869
Pr Dy Ho S
2 1 1 5
direct
0.0000 0.0000 0.2071
0.0000 0.0000 0.7929
0.5000 0.5000 0.5000
0.5000 0.5000 0.0000
0.0000 0.0000 0.5000
0.0000 0.5000 0.0000
0.5000 0.0000 0.0000
0.5000 0.5000 0.2553
0.5000 0.5000 0.7447

No. 2
Pr2DyHoS4 | Alexandria via LeMat-Bulk | GGA-PBE | relaxed; final energy = -51.3 eV for the cell shown; space-group type = P2/m, No. 10; uncorrected formation energy = -16.1 eV per formula unit
1.0
6.8594 0.0000 0.0000
0.0000 3.9351 0.0000
-2.2647 0.0000 6.7136
Pr Dy Ho S
2 1 1 4
direct
0.0000 0.0000 0.0000
0.5000 0.5000 0.0000
0.0000 0.5000 0.5000
0.5000 0.0000 0.5000
0.2440 0.0000 0.7298
0.2582 0.5000 0.2709
0.7418 0.5000 0.7291
0.7560 0.0000 0.2702

No. 3
PrDyHo2S4 | Alexandria via LeMat-Bulk | GGA-PBE | relaxed; final energy = -50.9 eV for the cell shown; space-group type = P2/m, No. 10; uncorrected formation energy = -15.9 eV per formula unit
1.0
6.8492 0.0000 0.0000
0.0000 3.8965 0.0000
-2.2219 0.0000 6.5178
Pr Dy Ho S
1 1 2 4
direct
0.0000 0.0000 0.0000
0.5000 0.5000 0.0000
0.0000 0.5000 0.5000
0.5000 0.0000 0.5000
0.2550 0.0000 0.7419
0.2628 0.5000 0.2643
0.7372 0.5000 0.7357
0.7450 0.0000 0.2581

No. 4
PrDyHo2S6 | Alexandria via LeMat-Bulk | GGA-PBE | relaxed; final energy = -63.8 eV for the cell shown; space-group type = R3, No. 146; uncorrected formation energy = -20.4 eV per formula unit
1.0
3.4917 2.0160 6.1807
-3.4917 2.0160 6.1807
0.0000 -4.0319 6.1807
Pr Dy Ho S
1 1 2 6
direct
0.0000 0.0000 0.0000
0.4932 0.4932 0.4932
0.2908 0.2908 0.2908
0.7947 0.7947 0.7947
0.0860 0.6718 0.4159
0.1917 0.5835 0.8963
0.4159 0.0860 0.6718
0.5835 0.8963 0.1917
0.6718 0.4159 0.0860
0.8963 0.1917 0.5835